[1]
Computed, not measured: a relaxed NaTc2As2 crystal at the PBE-GGA level of DFT.

Computed properties:
M_tot ... 0.01 μB per cell
Space group ... I4/mmm (139)
Electronic total energy ... -6.4449 eV per atom

a b c (Å): 6.056 6.056 6.056
angles (deg): 139.72 139.72 58.28
Positions (direct):
As: 0.374 0.374 0.000
As: 0.626 0.626 0.000
Tc: 0.750 0.250 0.500
Tc: 0.250 0.750 0.500
Na: 0.000 0.000 0.000

---

[2]
Computed, not measured: a relaxed NaTeAsW crystal at the PBE-GGA level of DFT.

Computed properties:
M_tot ... 1.43 μB per cell
Space group ... F-43m (216)
Polymorph energy (0 for the lowest one) ... 0 meV/atom

a b c (Å): 4.778 4.778 4.778
angles (deg): 60.00 60.00 60.00
Positions (direct):
As: 0.000 0.000 0.000
Na: 0.750 0.750 0.750
W: 0.250 0.250 0.250
Te: 0.500 0.500 0.500

---

[3]
Computed, not measured: a relaxed NaTeAsW crystal at the PBE-GGA level of DFT.

Computed properties:
M_tot ... 1.69 μB per cell
Space group ... F-43m (216)
Polymorph energy (0 for the lowest one) ... 623 meV/atom

a b c (Å): 4.833 4.833 4.833
angles (deg): 60.00 60.00 60.00
Positions (direct):
As: 0.500 0.500 0.500
W: 0.000 0.000 0.000
Te: 0.250 0.250 0.250
Na: 0.750 0.750 0.750

---

[4]
Computed, not measured: a relaxed NaZr2Te2As crystal at the PBE-GGA level of DFT.

Computed properties:
M_tot ... 0.00 μB per cell
Space group ... R-3m (166)
Electronic total energy ... -5.9363 eV per atom

a b c (Å): 4.014 4.015 32.598
angles (deg): 90.00 90.00 120.00
Positions (direct):
Zr: 0.000 0.000 0.376
Zr: 0.333 0.667 0.043
Zr: 0.333 0.667 0.290
Zr: 0.667 0.333 0.957
Zr: 0.667 0.333 0.710
Zr: 0.000 0.000 0.624
Te: 0.667 0.333 0.100
Te: 0.333 0.667 0.434
Te: 0.000 0.000 0.233
Te: 0.333 0.667 0.900
Te: 0.667 0.333 0.566
Te: 0.000 0.000 0.767
Na: 0.333 0.667 0.167
Na: 0.667 0.333 0.833
Na: 0.000 0.000 0.500
As: 0.667 0.333 0.333
As: 0.000 0.000 0.000
As: 0.333 0.667 0.667

---

Q: M_tot of number 3 (NaTeAsW)?
A: 1.69 μB per cell

---

Q: Look up the M_tot of the first one.
A: 0.01 μB per cell

---

Q: Which value of M_tot does entry 4 give?
A: 0.00 μB per cell